1.
HgSb3F | the Alexandria database | PBE | optimized geometry; distance to the lowest polymorph of the same formula = 567 meV/atom; raw formation energy = 591.3 meV per atom; DOS(E_F) = 6.058 states/eV/cell; V = 172 Å³ per cell
1.0
5.560 0.000 0.000
0.000 5.560 0.000
0.000 0.000 5.560
Hg Sb F
1 3 1
Direct
0.000 0.000 0.000
0.000 0.000 0.500
0.000 0.500 0.000
0.500 0.000 0.000
0.500 0.500 0.500

***

2.
MnTl2Au | the Alexandria database | PBE | optimized geometry; distance to the lowest polymorph of the same formula = 198 meV/atom; energy relative to the elements = 340 meV per atom; DOS(E_F) = 2.421 states/eV/cell; V = 87 Å³ per cell
1.0
3.362 0.000 0.000
0.000 3.362 0.000
0.000 0.000 7.656
Mn Tl Au
1 2 1
Direct
0.000 0.000 0.000
0.500 0.500 0.241
0.500 0.500 0.759
0.000 0.000 0.500

***

3.
HoCdPdPt | the Alexandria database | PBE | optimized geometry; energy relative to the elements = -829 meV per atom; DOS(E_F) = 2.040 states/eV/cell; V = 77 Å³ per cell
1.0
0.000 3.380 3.380
3.380 0.000 3.380
3.380 3.380 0.000
Ho Cd Pd Pt
1 1 1 1
Direct
0.000 0.000 0.000
0.500 0.500 0.500
0.250 0.250 0.250
0.750 0.750 0.750

***

4.
Tb7Sm3Y2 | the Alexandria database | PBE | optimized geometry; distance to the lowest polymorph of the same formula = 8 meV/atom; energy relative to the elements = 88 meV per atom; DOS(E_F) = 15.507 states/eV/cell; V = 394 Å³ per cell
1.0
5.851 0.000 0.000
0.000 3.572 0.000
-1.045 0.000 18.843
Tb Sm Y
7 3 2
Direct
0.000 0.000 0.000
0.191 0.500 0.177
0.257 0.500 0.537
0.311 0.000 0.857
0.689 0.000 0.143
0.743 0.500 0.463
0.809 0.500 0.823
0.222 0.000 0.368
0.500 0.500 0.000
0.778 0.000 0.632
0.289 0.500 0.706
0.711 0.500 0.294

***

5.
YTaP2 | the Alexandria database | PBE | optimized geometry; distance to the lowest polymorph of the same formula = 541 meV/atom; energy relative to the elements = -528 meV per atom; DOS(E_F) = 2.022 states/eV/cell; V = 73 Å³ per cell
1.0
3.306 -3.521 0.000
3.306 3.521 0.000
-0.848 0.000 3.117
Y Ta P
1 1 2
Direct
0.000 0.000 0.000
0.500 0.500 0.000
0.000 0.500 0.500
0.500 0.000 0.500

***

6.
CsTcI3 | the Alexandria database | PBE | optimized geometry; distance to the lowest polymorph of the same formula = 0 meV/atom; raw formation energy = -423.2 meV per atom; DOS(E_F) = 7.065 states/eV/cell; V = 427 Å³ per cell
1.0
9.489 0.000 0.000
0.000 3.864 0.000
-0.995 0.000 11.636
Cs Tc I
2 2 6
Direct
0.080 0.250 0.289
0.920 0.750 0.711
0.453 0.250 0.041
0.547 0.750 0.959
0.181 0.250 0.965
0.237 0.750 0.543
0.462 0.750 0.219
0.538 0.250 0.781
0.763 0.250 0.457
0.819 0.750 0.035

***

7.
TaMn2Br | the Alexandria database | PBE | optimized geometry; distance to the lowest polymorph of the same formula = 417 meV/atom; raw formation energy = 626.6 meV per atom; DOS(E_F) = 3.792 states/eV/cell; V = 67 Å³ per cell
1.0
4.384 -1.556 0.000
4.384 1.556 0.000
-1.101 0.000 4.915
Ta Mn Br
1 2 1
Direct
0.000 0.000 0.000
0.259 0.259 0.786
0.741 0.741 0.214
0.500 0.500 0.500

***

8.
Pu3PaTe4 | the Alexandria database | PBE | optimized geometry; raw formation energy = -949.5 meV per atom; DOS(E_F) = 35.704 states/eV/cell; V = 243 Å³ per cell
1.0
4.458 -6.243 0.000
4.458 6.243 0.000
0.000 0.000 4.369
Pu Pa Te
3 1 4
Direct
0.000 0.000 0.000
0.000 0.500 0.500
0.500 0.000 0.500
0.500 0.500 0.000
0.250 0.250 0.500
0.250 0.750 0.000
0.750 0.250 0.000
0.750 0.750 0.500

***

9.
Na2Sm3TmS6 | the Alexandria database | PBE | optimized geometry; raw formation energy = -1870.4 meV per atom; DOS(E_F) = 3.153 states/eV/cell; V = 270 Å³ per cell
1.0
3.459 -5.982 0.000
3.459 5.982 0.000
-2.294 0.000 6.522
Na Sm Tm S
2 3 1 6
Direct
0.166 0.834 0.000
0.834 0.166 0.000
0.000 0.000 0.500
0.329 0.671 0.500
0.671 0.329 0.500
0.500 0.500 0.000
0.095 0.418 0.755
0.261 0.261 0.251
0.418 0.095 0.755
0.582 0.905 0.245
0.739 0.739 0.749
0.905 0.582 0.245

***

10.
CsMgNb | the Alexandria database | PBE | optimized geometry; distance to the lowest polymorph of the same formula = 1052 meV/atom; energy relative to the elements = 1539 meV per atom; DOS(E_F) = 7.300 states/eV/cell; V = 174 Å³ per cell
1.0
5.589 0.000 0.000
-2.794 4.840 0.000
0.000 0.000 6.435
Cs Mg Nb
2 2 2
Direct
0.000 0.000 0.000
0.000 0.000 0.500
0.333 0.667 0.250
0.667 0.333 0.750
0.333 0.667 0.750
0.667 0.333 0.250

***

11.
PaV2B | the Alexandria database | PBE | optimized geometry; distance to the lowest polymorph of the same formula = 0 meV/atom; energy relative to the elements = 35 meV per atom; DOS(E_F) = 5.116 states/eV/cell; V = 58 Å³ per cell
1.0
3.000 0.000 0.000
0.000 3.000 0.000
0.000 0.000 6.404
Pa V B
1 2 1
Direct
0.000 0.000 0.000
0.500 0.500 0.342
0.500 0.500 0.658
0.000 0.000 0.500

***

12.
PmErGaSn | the Alexandria database | PBE | optimized geometry; distance to the lowest polymorph of the same formula = 0 meV/atom; energy relative to the elements = -693 meV per atom; DOS(E_F) = 3.615 states/eV/cell; V = 106 Å³ per cell
1.0
4.186 0.000 0.000
0.000 2.253 5.629
0.000 -2.253 5.629
Pm Er Ga Sn
1 1 1 1
Direct
0.000 0.000 0.000
0.500 0.278 0.278
0.500 0.551 0.551
0.000 0.717 0.717